1.
# GGA-PBE TbPmS2, optimized geometry
data_TbPmS2
_cell_length_a 3.9371
_cell_length_b 3.9371
_cell_length_c 13.3484
_cell_angle_alpha 90.00
_cell_angle_beta 90.00
_cell_angle_gamma 120.00
_space_group_name_H-M_alt 'P 63/m m c'
_space_group_IT_number 194
_space_group_name_Hall '-P 6c 2c'
loop_
_atom_site_label
_atom_site_type_symbol
_atom_site_fract_x
_atom_site_fract_y
_atom_site_fract_z
Tb1 Tb 0.0000 0.0000 0.0000
Pm1 Pm 0.3333 0.6667 0.2500
S1 S 0.3333 0.6667 0.6187
# **Formation energy from raw total energies**: -2.019 eV/atom
# **Total magnetization**: 0.0 μB/f.u.
# **Calculated volume**: 179.2 Å³ per cell

=====

2.
# GGA-PBE TbPm5S6, optimized geometry
data_TbPm5S6
_cell_length_a 6.953
_cell_length_b 12.074
_cell_length_c 6.949
_cell_angle_alpha 90.00
_cell_angle_beta 109.67
_cell_angle_gamma 90.00
_space_group_name_H-M_alt 'C 1 2/m 1'
_space_group_IT_number 12
_space_group_name_Hall '-C 2y'
loop_
_atom_site_label
_atom_site_type_symbol
_atom_site_fract_x
_atom_site_fract_y
_atom_site_fract_z
Tb1 Tb 0.000 0.000 0.000
Pm1 Pm 0.000 0.169 0.500
Pm2 Pm 0.000 0.333 0.000
Pm3 Pm 0.000 0.500 0.500
S1 S 0.245 0.000 0.752
S2 S 0.246 0.164 0.246
# **Formation energy from raw total energies**: -2.033 eV/atom
# **Total magnetization**: 0.0 μB/f.u.
# **Calculated volume**: 549.4 Å³ per cell

=====

3.
# GGA-PBE TbPmS2, optimized geometry
data_TbPmS2
_cell_length_a 6.876
_cell_length_b 3.985
_cell_length_c 6.907
_cell_angle_alpha 90.00
_cell_angle_beta 109.53
_cell_angle_gamma 90.00
_space_group_name_H-M_alt 'C 1 2/m 1'
_space_group_IT_number 12
_space_group_name_Hall '-C 2y'
loop_
_atom_site_label
_atom_site_type_symbol
_atom_site_fract_x
_atom_site_fract_y
_atom_site_fract_z
Tb1 Tb 0.000 0.000 0.000
Pm1 Pm 0.000 0.500 0.500
S1 S 0.247 0.500 0.240
# **Formation energy from raw total energies**: -2.026 eV/atom
# **Total magnetization**: 0.0 μB/f.u.
# **Calculated volume**: 178.4 Å³ per cell

=====

4.
# GGA-PBE Tb2PmS4, optimized geometry
data_Tb2PmS4
_cell_length_a 3.866
_cell_length_b 13.040
_cell_length_c 13.239
_cell_angle_alpha 90.00
_cell_angle_beta 90.00
_cell_angle_gamma 90.00
_space_group_name_H-M_alt 'C m c m'
_space_group_IT_number 63
_space_group_name_Hall '-C 2c 2'
loop_
_atom_site_label
_atom_site_type_symbol
_atom_site_fract_x
_atom_site_fract_y
_atom_site_fract_z
Tb1 Tb 0.000 0.130 0.069
Pm1 Pm 0.000 0.375 0.250
S1 S 0.000 0.033 0.250
S2 S 0.000 0.226 0.621
S3 S 0.000 0.500 0.000
# **Formation energy from raw total energies**: -2.069 eV/atom
# **Total magnetization**: 0.0 μB/f.u.
# **Calculated volume**: 667.5 Å³ per cell

=====

5.
# GGA-PBE TbPm3S4, optimized geometry
data_TbPm3S4
_cell_length_a 6.974
_cell_length_b 7.954
_cell_length_c 6.957
_cell_angle_alpha 90.00
_cell_angle_beta 109.40
_cell_angle_gamma 90.00
_space_group_name_H-M_alt 'P 1 2/c 1'
_space_group_IT_number 13
_space_group_name_Hall '-P 2yc'
loop_
_atom_site_label
_atom_site_type_symbol
_atom_site_fract_x
_atom_site_fract_y
_atom_site_fract_z
Tb1 Tb 0.000 0.126 0.250
Pm1 Pm 0.000 0.376 0.750
Pm2 Pm 0.500 0.126 0.750
Pm3 Pm 0.500 0.376 0.250
S1 S 0.243 0.121 0.000
S2 S 0.246 0.371 0.496
# **Formation energy from raw total energies**: -2.030 eV/atom
# **Total magnetization**: 0.0 μB/f.u.
# **Calculated volume**: 364.0 Å³ per cell

=====

6.
# GGA-PBE Tb2Pm3S4, optimized geometry
data_Tb2Pm3S4
_cell_length_a 3.9370
_cell_length_b 3.9370
_cell_length_c 16.3062
_cell_angle_alpha 90.00
_cell_angle_beta 90.00
_cell_angle_gamma 120.00
_space_group_name_H-M_alt 'P -3 m 1'
_space_group_IT_number 164
_space_group_name_Hall '-P 3 2"'
loop_
_atom_site_label
_atom_site_type_symbol
_atom_site_fract_x
_atom_site_fract_y
_atom_site_fract_z
Tb1 Tb 0.3333 0.6667 0.2037
Pm1 Pm 0.0000 0.0000 0.0000
Pm2 Pm 0.3333 0.6667 0.5934
S1 S 0.0000 0.0000 0.3006
S2 S 0.3333 0.6667 0.8942
# **Formation energy from raw total energies**: -1.767 eV/atom
# **Total magnetization**: 1.0 μB/f.u.
# **Calculated volume**: 218.9 Å³ per cell

=====

7.
# GGA-PBE TbPm3S4, optimized geometry
data_TbPm3S4
_cell_length_a 5.669
_cell_length_b 5.669
_cell_length_c 5.669
_cell_angle_alpha 90.00
_cell_angle_beta 90.00
_cell_angle_gamma 90.00
_space_group_name_H-M_alt 'P m -3 m'
_space_group_IT_number 221
_space_group_name_Hall '-P 4 2 3'
loop_
_atom_site_label
_atom_site_type_symbol
_atom_site_fract_x
_atom_site_fract_y
_atom_site_fract_z
Tb1 Tb 0.000 0.000 0.000
Pm1 Pm 0.000 0.500 0.500
S1 S 0.000 0.000 0.500
S2 S 0.500 0.500 0.500
# **Formation energy from raw total energies**: -2.012 eV/atom
# **Total magnetization**: 0.0 μB/f.u.
# **Calculated volume**: 182.2 Å³ per cell

=====

8.
# GGA-PBE Tb3PmS4, optimized geometry
data_Tb3PmS4
_cell_length_a 5.594
_cell_length_b 5.594
_cell_length_c 5.594
_cell_angle_alpha 90.00
_cell_angle_beta 90.00
_cell_angle_gamma 90.00
_space_group_name_H-M_alt 'P m -3 m'
_space_group_IT_number 221
_space_group_name_Hall '-P 4 2 3'
loop_
_atom_site_label
_atom_site_type_symbol
_atom_site_fract_x
_atom_site_fract_y
_atom_site_fract_z
Tb1 Tb 0.000 0.000 0.500
Pm1 Pm 0.500 0.500 0.500
S1 S 0.000 0.000 0.000
S2 S 0.000 0.500 0.500
# **Formation energy from raw total energies**: -1.998 eV/atom
# **Total magnetization**: 0.0 μB/f.u.
# **Calculated volume**: 175.1 Å³ per cell

=====

9.
# GGA-PBE TbPm2S4, optimized geometry
data_TbPm2S4
_cell_length_a 11.613
_cell_length_b 11.625
_cell_length_c 11.642
_cell_angle_alpha 90.00
_cell_angle_beta 90.00
_cell_angle_gamma 90.00
_space_group_name_H-M_alt 'F d d d'
_space_group_IT_number 70
loop_
_space_group_symop_operation_xyz
'x,y,z'
'-x,-y,-z'
'-x+1/4,-y+1/4,z'
'x+1/4,y+1/4,-z'
'x,-y+1/4,-z+1/4'
'-x,y+1/4,z+1/4'
'-x+1/4,y,-z+1/4'
'x+1/4,-y,z+1/4'
'x,y+1/2,z+1/2'
'-x,-y+1/2,-z+1/2'
'-x+1/4,-y+3/4,z+1/2'
'x+1/4,y+3/4,-z+1/2'
'x,-y+3/4,-z+3/4'
'-x,y+3/4,z+3/4'
'-x+1/4,y+1/2,-z+3/4'
'x+1/4,-y+1/2,z+3/4'
'x+1/2,y,z+1/2'
'-x+1/2,-y,-z+1/2'
'-x+3/4,-y+1/4,z+1/2'
'x+3/4,y+1/4,-z+1/2'
'x+1/2,-y+1/4,-z+3/4'
'-x+1/2,y+1/4,z+3/4'
'-x+3/4,y,-z+3/4'
'x+3/4,-y,z+3/4'
'x+1/2,y+1/2,z'
'-x+1/2,-y+1/2,-z'
'-x+3/4,-y+3/4,z'
'x+3/4,y+3/4,-z'
'x+1/2,-y+3/4,-z+1/4'
'-x+1/2,y+3/4,z+1/4'
'-x+3/4,y+1/2,-z+1/4'
'x+3/4,-y+1/2,z+1/4'
loop_
_atom_site_label
_atom_site_type_symbol
_atom_site_fract_x
_atom_site_fract_y
_atom_site_fract_z
Tb1 Tb 0.125 0.125 0.125
Pm1 Pm 0.000 0.000 0.500
S1 S 0.005 0.005 0.744
# **Formation energy from raw total energies**: -1.922 eV/atom
# **Total magnetization**: 0.0 μB/f.u.
# **Calculated volume**: 1571.7 Å³ per cell

=====

10.
# GGA-PBE Tb3PmS, optimized geometry
data_Tb3PmS
_cell_length_a 5.347
_cell_length_b 5.347
_cell_length_c 5.347
_cell_angle_alpha 90.00
_cell_angle_beta 90.00
_cell_angle_gamma 90.00
_space_group_name_H-M_alt 'P m -3 m'
_space_group_IT_number 221
_space_group_name_Hall '-P 4 2 3'
loop_
_atom_site_label
_atom_site_type_symbol
_atom_site_fract_x
_atom_site_fract_y
_atom_site_fract_z
Tb1 Tb 0.000 0.000 0.500
Pm1 Pm 0.500 0.500 0.500
S1 S 0.000 0.000 0.000
# **Formation energy from raw total energies**: -0.665 eV/atom
# **Total magnetization**: 0.0 μB/f.u.
# **Calculated volume**: 152.9 Å³ per cell

=====

11.
# GGA-PBE Tb3Pm2S6, optimized geometry
data_Tb3Pm2S6
_cell_length_a 6.877
_cell_length_b 11.867
_cell_length_c 6.876
_cell_angle_alpha 90.00
_cell_angle_beta 109.39
_cell_angle_gamma 90.00
_space_group_name_H-M_alt 'C 1 2/m 1'
_space_group_IT_number 12
_space_group_name_Hall '-C 2y'
loop_
_atom_site_label
_atom_site_type_symbol
_atom_site_fract_x
_atom_site_fract_y
_atom_site_fract_z
Tb1 Tb 0.000 0.000 0.000
Tb2 Tb 0.000 0.337 0.000
Pm1 Pm 0.000 0.165 0.500
S1 S 0.246 0.500 0.246
S2 S 0.247 0.166 0.241
# **Formation energy from raw total energies**: -2.077 eV/atom
# **Total magnetization**: 0.0 μB/f.u.
# **Calculated volume**: 529.3 Å³ per cell

=====

12.
# GGA-PBE TbPm2Te2S2, optimized geometry
data_TbPm2Te2S2
_cell_length_a 5.083
_cell_length_b 5.083
_cell_length_c 15.970
_cell_angle_alpha 90.00
_cell_angle_beta 90.00
_cell_angle_gamma 90.00
_space_group_name_H-M_alt 'I 4/m m m'
_space_group_IT_number 139
_space_group_name_Hall '-I 4 2'
loop_
_atom_site_label
_atom_site_type_symbol
_atom_site_fract_x
_atom_site_fract_y
_atom_site_fract_z
Tb1 Tb 0.000 0.000 0.000
Pm1 Pm 0.000 0.000 0.386
Te1 Te 0.000 0.000 0.188
S1 S 0.000 0.500 0.000
# **Formation energy from raw total energies**: -1.449 eV/atom
# **Total magnetization**: 0.0 μB/f.u.
# **Calculated volume**: 412.7 Å³ per cell